Entry 1:
VASP calculation (PBE-GGA) on a relaxed KNaHgTe2 crystal.

Cell: 8.6707 8.6707 6.9101 Å, 90.00 90.00 133.31°
Sites, in units of the cell vectors:
K (0.2500, 0.7500, 0.7971)
K (0.7500, 0.2500, 0.2029)
Na (0.2500, 0.2500, 0.5000)
Na (0.7500, 0.7500, 0.5000)
Hg (0.0000, 0.0000, 0.0000)
Hg (0.5000, 0.5000, 0.0000)
Te (0.1269, 0.8731, 0.2534)
Te (0.3731, 0.6269, 0.2534)
Te (0.6269, 0.3731, 0.7466)
Te (0.8731, 0.1269, 0.7466)

* ΔE_f (raw): -668 meV/atom
* spin magnetization: 0.00 Bohr magnetons per cell



Entry 2:
VASP calculation (PBE-GGA) on a relaxed K2NaHgTe crystal.

Cell: 6.7379 6.7379 5.8824 Å, 90.00 90.00 90.00°
Sites, in units of the cell vectors:
K (0.0000, 0.5000, 0.0000)
K (0.5000, 0.0000, 0.0000)
Na (0.0000, 0.0000, 0.5000)
Hg (0.5000, 0.5000, 0.5000)
Te (0.0000, 0.0000, 0.0000)

* ΔE_f (raw): -495 meV/atom
* spin magnetization: 0.00 Bohr magnetons per cell